Rb2VGeRu: optimized geometry, PBE-GGA.

Cell and atoms, written as POSCAR:
```
Rb2VGeRu
1.0
6.1766 0.0000 0.0000
0.0000 6.1766 0.0000
0.0000 0.0000 4.6749
Rb V Ge Ru
2 1 1 1
Direct
0.0000 0.5000 0.0000 Rb
0.5000 0.0000 0.0000 Rb
0.0000 0.0000 0.5000 V
0.5000 0.5000 0.5000 Ge
0.5000 0.5000 0.0000 Ru
```

Values from the calculation:
Its volume is 35.67 Å³/atom. The raw total energy comes out at -3.6952 eV per atom. Its symmetry is P4/mmm (123). As for the formation enthalpy at 0 K: 1.294 eV/atom.

=====

KW2IBr: optimized geometry, PBE-GGA.

Cell and atoms, written as POSCAR:
```
KW2IBr
1.0
4.7071 0.0000 0.0000
0.0000 4.7071 0.0000
0.0000 0.0000 7.8731
K W I Br
1 2 1 1
Direct
0.0000 0.0000 0.0000 K
0.0000 0.5000 0.5000 W
0.5000 0.0000 0.5000 W
0.5000 0.5000 0.0000 I
0.0000 0.0000 0.5000 Br
```

Values from the calculation:
Its volume is 34.89 Å³/atom. The raw total energy comes out at -4.3824 eV per atom. The calculation puts the uncorrected formation energy at 1.663 eV per atom. Its symmetry is P4/mmm (123).

=====

> Among the records above, which one has the highest raw total energy?

Rb2VGeRu

=====

> Look up the volume of the first one.

35.67 Å³/atom